Record 1
## Y2HgP (PBE)

Data for crystalline Y2HgP at its relaxed geometry.

Values from the calculation:
**Total moment**: 2.5 Bohr magnetons per cell
**Space-group type**: R3m (160)
**VASP energy**: -5.048 eV/atom
**Energy relative to the elements**: -0.388 eV/atom

POSCAR file:
```
Y2HgP
1.0
3.995 0.000 0.000
-1.998 3.460 0.000
0.000 0.000 24.166
Y Hg P
6 3 3
direct
0.000 0.000 0.000
0.000 0.000 0.210
0.333 0.667 0.667
0.333 0.667 0.877
0.667 0.333 0.333
0.667 0.333 0.543
0.000 0.000 0.754
0.333 0.667 0.421
0.667 0.333 0.087
0.000 0.000 0.484
0.333 0.667 0.150
0.667 0.333 0.817
```

---

Record 2
## YHgP2 (PBE)

Data for crystalline YHgP2 at its relaxed geometry.

Values from the calculation:
**Total moment**: 0.0 Bohr magnetons per cell
**Space-group type**: Cm (8)
**VASP energy**: -4.874 eV/atom
**Energy relative to the elements**: -0.477 eV/atom

POSCAR file:
```
YHgP2
1.0
11.158 0.000 0.000
0.000 4.108 0.000
-1.251 0.000 3.813
Y Hg P
2 2 4
direct
0.000 0.000 0.000
0.500 0.500 0.000
0.260 0.000 0.577
0.760 0.500 0.577
0.176 0.500 0.946
0.490 0.000 0.491
0.676 0.000 0.946
0.990 0.500 0.491
```

---

Record 3
## YHgP3 (PBE)

Data for crystalline YHgP3 at its relaxed geometry.

Values from the calculation:
**Total moment**: 0.0 Bohr magnetons per cell
**Space-group type**: Pm-3m (221)
**VASP energy**: -3.938 eV/atom
**Energy relative to the elements**: 0.661 eV/atom

POSCAR file:
```
YHgP3
1.0
5.295 0.000 0.000
0.000 5.295 0.000
0.000 0.000 5.295
Y Hg P
1 1 3
direct
0.000 0.000 0.000
0.500 0.500 0.500
0.000 0.000 0.500
0.000 0.500 0.000
0.500 0.000 0.000
```

---

Number 3 is which compound?
YHgP3